[1]
Below is SrHgIO2 after structural relaxation, with properties calculated at the PBE-GGA level.

The mass density is 6.24 g/cm³. The value obtained for the relative energy among the computed polymorphs is 27 meV/atom. The electronic total energy comes out at -3.1812 eV/atom. Its density of states at the Fermi level is 0.535 states/eV per atom.

The structure belongs to space group P4/mmm (No. 123); the cell edges are 4.531, 4.531 and 5.800 Å and the angles 90.00°, 90.00° and 90.00°. The distinct sites, in fractional coordinates, are Sr at (0.000, 0.000, 0.000), Hg at (0.500, 0.500, 0.500), I at (0.500, 0.500, 0.000) and O at (0.000, 0.500, 0.500).

[2]
Below is SrHgIO6 after structural relaxation, with properties calculated at the PBE-GGA level.

The mass density is 5.89 g/cm³. The electronic total energy comes out at -4.5701 eV/atom. Its density of states at the Fermi level is 0.349 states/eV per atom.

The structure belongs to space group C2 (No. 5); the cell edges are 5.761, 9.561 and 5.230 Å and the angles 90.00°, 91.38° and 90.00°. The distinct sites, in fractional coordinates, are Sr at (0.000, 0.000, 0.000), Hg at (0.000, 0.670, 0.500), I at (0.000, 0.333, 0.500), O at (0.121, 0.480, 0.719), O at (0.133, 0.201, 0.724) and O at (0.219, 0.835, 0.694).

[3]
Below is SrHgI2O after structural relaxation, with properties calculated at the PBE-GGA level.

The mass density is 5.85 g/cm³. The value obtained for the relative energy among the computed polymorphs is 0 meV/atom. The electronic total energy comes out at -2.6767 eV/atom. Its density of states at the Fermi level is 0.650 states/eV per atom.

The structure belongs to space group P4/mmm (No. 123); the cell edges are 6.139, 6.139 and 4.204 Å and the angles 90.00°, 90.00° and 90.00°. The distinct sites, in fractional coordinates, are Sr at (0.000, 0.000, 0.000), Hg at (0.500, 0.500, 0.500), I at (0.000, 0.500, 0.500) and O at (0.500, 0.500, 0.000).

[4]
Below is SrHg2IO2 after structural relaxation, with properties calculated at the PBE-GGA level.

The mass density is 6.88 g/cm³. The electronic total energy comes out at -3.2089 eV/atom. Its density of states at the Fermi level is 0.399 states/eV per atom.

The structure belongs to space group P2_1/m (No. 11); the cell edges are 7.173, 6.316 and 7.547 Å and the angles 90.00°, 113.79° and 90.00°. The distinct sites, in fractional coordinates, are Sr at (0.104, 0.250, 0.409), Hg at (0.208, 0.250, 0.902), Hg at (0.427, 0.750, 0.786), I at (0.249, 0.750, 0.195) and O at (0.185, 0.502, 0.678).

[5]
Below is TaHgI2O after structural relaxation, with properties calculated at the PBE-GGA level.

The mass density is 8.07 g/cm³. The value obtained for the relative energy among the computed polymorphs is 0 meV/atom. The electronic total energy comes out at -4.7133 eV/atom. Its density of states at the Fermi level is 0.380 states/eV per atom.

The structure belongs to space group P4/mmm (No. 123); the cell edges are 5.850, 5.850 and 3.917 Å and the angles 90.00°, 90.00° and 90.00°. The distinct sites, in fractional coordinates, are Ta at (0.000, 0.000, 0.000), Hg at (0.500, 0.500, 0.500), I at (0.000, 0.500, 0.000) and O at (0.000, 0.000, 0.500).

[6]
Below is TaHg2IO after structural relaxation, with properties calculated at the PBE-GGA level.

The mass density is 3.68 g/cm³. The electronic total energy comes out at -2.2162 eV/atom. Its density of states at the Fermi level is 0.742 states/eV per atom.

The structure belongs to space group P4/mmm (No. 123); the cell edges are 7.819, 7.819 and 5.358 Å and the angles 90.00°, 90.00° and 90.00°. The distinct sites, in fractional coordinates, are Ta at (0.000, 0.000, 0.000), Hg at (0.000, 0.500, 0.500), I at (0.000, 0.000, 0.500) and O at (0.500, 0.500, 0.000).

[7]
Below is TaHgI2O after structural relaxation, with properties calculated at the PBE-GGA level.

The mass density is 7.74 g/cm³. The value obtained for the relative energy among the computed polymorphs is 1667 meV/atom. The electronic total energy comes out at -3.0466 eV/atom. Its density of states at the Fermi level is 0.917 states/eV per atom.

The structure belongs to space group P4/mmm (No. 123); the cell edges are 5.938, 5.938 and 3.962 Å and the angles 90.00°, 90.00° and 90.00°. The distinct sites, in fractional coordinates, are Ta at (0.000, 0.000, 0.000), Hg at (0.500, 0.500, 0.500), I at (0.000, 0.500, 0.500) and O at (0.500, 0.500, 0.000).

[8]
Below is TcHgIO2 after structural relaxation, with properties calculated at the PBE-GGA level.

The mass density is 7.88 g/cm³. The value obtained for the relative energy among the computed polymorphs is 0 meV/atom. The electronic total energy comes out at -4.8259 eV/atom. Its density of states at the Fermi level is 0.367 states/eV per atom.

The structure belongs to space group P4/mmm (No. 123); the cell edges are 3.965, 3.965 and 6.135 Å and the angles 90.00°, 90.00° and 90.00°. The distinct sites, in fractional coordinates, are Tc at (0.000, 0.000, 0.000), Hg at (0.500, 0.500, 0.500), I at (0.000, 0.000, 0.500) and O at (0.000, 0.500, 0.000).